# 1
Here is crystalline Tb12TlNi6 at its relaxed geometry from Alexandria. Energies are from PBE. Values from VASP.

## Properties
Calculated volume   464 Å³ per cell
Calculated formation energy   -0.345 eV/atom

Geometry as Quantum ESPRESSO input:
```
&SYSTEM
  ibrav = 0, nat = 19, ntyp = 3
/
ATOMIC_SPECIES
Tb 158.93 Tb.upf
Tl 204.38 Tl.upf
Ni 58.69 Ni.upf
ATOMIC_POSITIONS crystal
Tb 0.117 0.304 0.813
Tb 0.187 0.491 0.304
Tb 0.187 0.883 0.696
Tb 0.304 0.187 0.491
Tb 0.304 0.813 0.117
Tb 0.491 0.304 0.187
Tb 0.509 0.696 0.813
Tb 0.696 0.187 0.883
Tb 0.696 0.813 0.509
Tb 0.813 0.117 0.304
Tb 0.813 0.509 0.696
Tb 0.883 0.696 0.187
Tl 0.000 0.000 0.000
Ni 0.123 0.500 0.623
Ni 0.377 0.877 0.500
Ni 0.500 0.377 0.877
Ni 0.500 0.623 0.123
Ni 0.623 0.123 0.500
Ni 0.877 0.500 0.377
CELL_PARAMETERS angstrom
-4.876 4.876 4.876
4.876 -4.876 4.876
4.876 4.876 -4.876
```


# 2
Here is crystalline Tb12TlNi5 at its relaxed geometry from Alexandria. Energies are from PBE. Values from VASP.

## Properties
Calculated volume   450 Å³ per cell
Calculated formation energy   -0.318 eV/atom

Geometry as Quantum ESPRESSO input:
```
&SYSTEM
  ibrav = 0, nat = 18, ntyp = 3
/
ATOMIC_SPECIES
Tb 158.93 Tb.upf
Tl 204.38 Tl.upf
Ni 58.69 Ni.upf
ATOMIC_POSITIONS crystal
Tb 0.021 0.211 0.810
Tb 0.182 0.295 0.477
Tb 0.182 0.705 0.886
Tb 0.322 0.016 0.694
Tb 0.322 0.628 0.306
Tb 0.401 0.211 0.190
Tb 0.599 0.789 0.810
Tb 0.678 0.372 0.694
Tb 0.678 0.984 0.306
Tb 0.818 0.295 0.114
Tb 0.818 0.705 0.523
Tb 0.979 0.789 0.190
Tl 0.500 0.500 0.000
Ni 0.000 0.000 0.000
Ni 0.124 0.624 0.500
Ni 0.366 0.000 0.366
Ni 0.634 0.000 0.634
Ni 0.876 0.376 0.500
CELL_PARAMETERS angstrom
-4.705 4.809 4.970
4.705 -4.809 4.970
4.705 4.809 -4.970
```


# 3
Here is crystalline Tb4Tl5Ni2 at its relaxed geometry from Alexandria. Energies are from PBE. Values from VASP.

## Properties
Calculated volume   274 Å³ per cell
Calculated formation energy   -0.350 eV/atom

Geometry as Quantum ESPRESSO input:
```
&SYSTEM
  ibrav = 0, nat = 11, ntyp = 3
/
ATOMIC_SPECIES
Tb 158.93 Tb.upf
Tl 204.38 Tl.upf
Ni 58.69 Ni.upf
ATOMIC_POSITIONS crystal
Tb 0.187 0.000 0.337
Tb 0.208 0.000 0.932
Tb 0.792 0.000 0.068
Tb 0.813 0.000 0.663
Tl 0.151 0.500 0.641
Tl 0.452 0.500 0.164
Tl 0.500 0.500 0.500
Tl 0.548 0.500 0.836
Tl 0.849 0.500 0.359
Ni 0.072 0.500 0.126
Ni 0.928 0.500 0.874
CELL_PARAMETERS angstrom
7.856 0.000 0.000
0.000 3.653 0.000
-0.775 0.000 9.538
```


# 4
Here is crystalline Tb5TlNi at its relaxed geometry from Alexandria. Energies are from PBE. Values from VASP.

## Properties
Calculated volume   402 Å³ per cell
Calculated formation energy   -0.094 eV/atom

Geometry as Quantum ESPRESSO input:
```
&SYSTEM
  ibrav = 0, nat = 14, ntyp = 3
/
ATOMIC_SPECIES
Tb 158.93 Tb.upf
Tl 204.38 Tl.upf
Ni 58.69 Ni.upf
ATOMIC_POSITIONS crystal
Tb 0.008 0.992 0.750
Tb 0.039 0.402 0.637
Tb 0.205 0.550 0.953
Tb 0.402 0.039 0.137
Tb 0.450 0.795 0.547
Tb 0.550 0.205 0.453
Tb 0.598 0.961 0.863
Tb 0.795 0.450 0.047
Tb 0.961 0.598 0.363
Tb 0.992 0.008 0.250
Tl 0.470 0.530 0.250
Tl 0.530 0.470 0.750
Ni 0.000 0.000 0.000
Ni 0.000 0.000 0.500
CELL_PARAMETERS angstrom
5.510 -3.407 0.000
5.510 3.407 0.000
-3.782 0.000 10.698
```